[1]
# PBE-GGA La4CdAg2, optimized geometry
data_La4CdAg2
_chemical_formula_sum 'La12 Cd3 Ag6'
_cell_length_a 5.3353
_cell_length_b 5.3353
_cell_length_c 27.8342
_cell_angle_alpha 90.00
_cell_angle_beta 90.00
_cell_angle_gamma 120.00
_symmetry_space_group_name_H-M 'R -3 m'
_symmetry_Int_Tables_number 166
_symmetry_space_group_name_Hall '-R 3 2"'
loop_
_atom_site_label
_atom_site_fract_x
_atom_site_fract_y
_atom_site_fract_z
_atom_site_occupancy
La1 0.0000 0.0000 0.1221 1
La2 0.0000 0.0000 0.2883 1
Cd1 0.0000 0.0000 0.5000 1
Ag1 0.0000 0.0000 0.3994 1
# - spin magnetization (μB per cell) = 0.0
# - polymorph energy (0 for the lowest one) (kJ/mol of atoms) = 8.4
# - energy relative to the elements (eV per atom) = -0.059
# - DFT total energy (eV/atom) = -3.82

=====

[2]
# PBE-GGA MgMo2As, optimized geometry
data_MgMo2As
_chemical_formula_sum 'Mg2 Mo4 As2'
_cell_length_a 5.5421
_cell_length_b 8.8419
_cell_length_c 2.8125
_cell_angle_alpha 90.00
_cell_angle_beta 109.55
_cell_angle_gamma 90.00
_symmetry_space_group_name_H-M 'C 1 2/m 1'
_symmetry_Int_Tables_number 12
loop_
_symmetry_equiv_pos_as_xyz
'x,y,z'
'-x,-y,-z'
'-x,y,-z'
'x,-y,z'
'x+1/2,y+1/2,z'
'-x+1/2,-y+1/2,-z'
'-x+1/2,y+1/2,-z'
'x+1/2,-y+1/2,z'
loop_
_atom_site_label
_atom_site_fract_x
_atom_site_fract_y
_atom_site_fract_z
_atom_site_occupancy
Mg1 0.0000 0.0000 0.0000 1
Mo1 0.2500 0.2500 0.5000 1
As1 0.0000 0.5000 0.0000 1
# - spin magnetization (μB per cell) = 0.0
# - polymorph energy (0 for the lowest one) (kJ/mol of atoms) = 28.5
# - energy relative to the elements (eV per atom) = 0.300
# - DFT total energy (eV/atom) = -6.68

=====

Among the records above, which one has the lowest polymorph energy (0 for the lowest one)?
La4CdAg2